This record from the Alexandria database describes an optimized crystal structure of ScNbF6. The functional is PBE.

The space group is R-3m (No. 166, hexagonal axes) and the conventional cell measures 5.8367, 5.8367 and 14.3394 Å, with angles of 90.00, 90.00 and 120.00 degrees. Symmetry generates all atoms from Sc at (0.0000, 0.0000, 0.0000), Nb at (0.0000, 0.0000, 0.5000) and F at (0.0041, 0.5021, 0.7489).

Its uncorrected formation energy is -3285 meV/atom. As for the magnetic moment: 6.00 μB per cell. The mass density is 3.0 Mg/m³. As for the total energy: -161.73 eV per cell. Its crystal system is trigonal.


This record from the Alexandria database describes an optimized crystal structure of La3Tb3In2. The functional is PBE.

The space group is R32 (No. 155, hexagonal axes) and the conventional cell measures 8.9124, 8.9124 and 10.9582 Å, with angles of 90.00, 90.00 and 120.00 degrees. Symmetry generates all atoms from La at (0.0000, 0.2547, 0.0000), Tb at (0.0000, 0.7573, 0.5000) and In at (0.0000, 0.0000, 0.2520).

For the formation energy, the calculation gives -0.2000 eV/atom. As for the magnetic moment: 4.41 μB per cell. The mass density is 7.4 Mg/m³. As for the total energy: -107.25 eV per cell. Its crystal system is trigonal. Its offset from the most stable computed form is 0 meV per atom.


This record from the Alexandria database describes an optimized crystal structure of Tb2HoTh6. The functional is PBE.

The space group is P-6m2 (No. 187) and the conventional cell measures 3.5402, 3.5402 and 26.9171 Å, with angles of 90.00, 90.00 and 120.00 degrees. Symmetry generates all atoms from Tb at (0.0000, 0.0000, 0.1707), Ho at (0.3333, 0.6667, 0.5000), Th at (0.0000, 0.0000, 0.3906), Th at (0.3333, 0.6667, 0.0617) and Th at (0.3333, 0.6667, 0.2814).

For the formation energy, the calculation gives 0.0851 eV/atom. As for the magnetic moment: 0.00 μB per cell. The mass density is 10.7 Mg/m³. As for the total energy: -57.59 eV per cell. Its crystal system is hexagonal.


Q: Number 1 is which compound?
A: ScNbF6